This record from the Alexandria database describes an optimized crystal structure of CeDyCdTc. The functional is PBE-GGA.

Values from the calculation:
The calculation puts the volume at 23.77 Å³/atom. The excess energy over the best structure of this formula in the dataset is 0 meV/atom. The value obtained for the total energy is -5.631 eV per atom.

a = 3.416 Å, b = 3.416 Å, c = 8.147 Å
α = 90.00°, β = 90.00°, γ = 90.00°
Atoms (fractional coordinates):
Ce (0.000, 0.000, 0.000)
Dy (0.000, 0.000, 0.416)
Cd (0.500, 0.500, 0.698)
Tc (0.500, 0.500, 0.198)